# RbPN

An optimized crystal structure of RbPN (PBE, Alexandria via LeMat-Bulk).

Cell lengths 10.4568, 3.9690, 10.2005 Å; angles 90.00, 92.26, 90.00 degrees
Space group C2/m (No. 12)
Unique sites:
Rb: 0.0043 0.0000 0.1893
P: 0.2079 0.5000 0.0261
N: 0.0028 0.5000 0.5560

calculated density: 2.05 g cm⁻³
polymorph energy (0 for the lowest one): 0.164 eV per atom
raw formation energy: -0.186 eV/atom

---

# HfRhPb3

An optimized crystal structure of HfRhPb3 (PBE, Alexandria via LeMat-Bulk).

Cell lengths 5.5482, 5.5482, 5.5482 Å; angles 90.00, 90.00, 90.00 degrees
Space group Pm-3m (No. 221)
Unique sites:
Hf: 0.0000 0.0000 0.0000
Rh: 0.5000 0.5000 0.5000
Pb: 0.0000 0.0000 0.5000

calculated density: 8.78 g cm⁻³
polymorph energy (0 for the lowest one): 0.418 eV per atom
energy relative to the elements: 5.235 eV/f.u.

---

# Ac2YHg3

An optimized crystal structure of Ac2YHg3 (PBE, Alexandria via LeMat-Bulk).

Cell lengths 3.8808, 3.8808, 12.1660 Å; angles 90.00, 90.00, 90.00 degrees
Space group P4/mmm (No. 123)
Unique sites:
Ac: 0.0000 0.0000 0.1770
Y: 0.0000 0.0000 0.5000
Hg: 0.5000 0.5000 0.0000
Hg: 0.5000 0.5000 0.3605

calculated density: 10.37 g cm⁻³
energy relative to the elements: -2.786 eV/f.u.

---

# Tb6NdDy6

An optimized crystal structure of Tb6NdDy6 (PBE, Alexandria via LeMat-Bulk).

Cell lengths 7.0199, 11.1133, 11.1185 Å; angles 90.00, 90.00, 90.00 degrees
Space group Cmmm (No. 65)
Unique sites:
Tb: 0.0000 0.0000 0.1634
Tb: 0.0000 0.2648 0.0000
Tb: 0.0000 0.3562 0.5000
Nd: 0.0000 0.0000 0.5000
Dy: 0.0000 0.5000 0.1980
Dy: 0.2500 0.2500 0.2738

calculated density: 7.94 g cm⁻³
energy relative to the elements: 2.905 eV/f.u.

---

# AsOs2Pb

An optimized crystal structure of AsOs2Pb (PBE, Alexandria via LeMat-Bulk).

Cell lengths 6.4781, 6.4781, 6.4781 Å; angles 90.00, 90.00, 90.00 degrees
Space group Fm-3m (No. 225)
Unique sites:
As: 0.0000 0.0000 0.0000
Os: 0.2500 0.2500 0.2500
Pb: 0.0000 0.0000 0.5000

calculated density: 16.19 g cm⁻³
polymorph energy (0 for the lowest one): 0.511 eV per atom
energy relative to the elements: 3.646 eV/f.u.

---

# AcHRu

An optimized crystal structure of AcHRu (PBE, Alexandria via LeMat-Bulk).

Cell lengths 4.0023, 4.0023, 7.4103 Å; angles 90.00, 90.00, 90.00 degrees
Space group I4mm (No. 107)
Unique sites:
Ac: 0.0000 0.0000 0.0000
H: 0.0000 0.0000 0.4223
Ru: 0.0000 0.0000 0.6457

calculated density: 9.21 g cm⁻³
polymorph energy (0 for the lowest one): 0.145 eV per atom

---

# SmMg2Zn2Si2

An optimized crystal structure of SmMg2Zn2Si2 (PBE, Alexandria via LeMat-Bulk).

Cell lengths 4.3117, 4.3117, 25.1895 Å; angles 90.00, 90.00, 120.00 degrees
Space group R-3m (No. 166, hexagonal axes)
Unique sites:
Sm: 0.0000 0.0000 0.0000
Mg: 0.0000 0.0000 0.1349
Zn: 0.0000 0.0000 0.4043
Si: 0.0000 0.0000 0.2488

calculated density: 4.74 g cm⁻³
raw formation energy: -0.239 eV/atom

---

# TmScBeAl

An optimized crystal structure of TmScBeAl (PBE, Alexandria via LeMat-Bulk).

Cell lengths 6.7660, 6.7660, 6.7660 Å; angles 90.00, 90.00, 90.00 degrees
Space group F-43m (No. 216)
Unique sites:
Tm: 0.0000 0.0000 0.0000
Sc: 0.0000 0.0000 0.5000
Be: 0.2500 0.2500 0.7500
Al: 0.2500 0.2500 0.2500

calculated density: 5.36 g cm⁻³
energy relative to the elements: -0.707 eV/f.u.

---

# MgCo2Tc

An optimized crystal structure of MgCo2Tc (PBE, Alexandria via LeMat-Bulk).

Cell lengths 2.7096, 2.7096, 25.6348 Å; angles 90.00, 90.00, 120.00 degrees
Space group R3m (No. 160, hexagonal axes)
Unique sites:
Mg: 0.0000 0.0000 0.0000
Co: 0.0000 0.0000 0.4933
Co: 0.0000 0.0000 0.7528
Tc: 0.0000 0.0000 0.2393

calculated density: 7.34 g cm⁻³
energy relative to the elements: 1.094 eV/f.u.